Record 1
PBE ZnCrBr, optimized geometry; energy above the lowest structure with this stoichiometry = 438 meV per atom; space group = F-43m (216)
1.0
0.000 3.362 3.362
3.362 0.000 3.362
3.362 3.362 0.000
Zn Cr Br
1 1 1
Cartesian
0.000 0.000 0.000 Zn
1.681 1.681 1.681 Cr
5.043 5.043 5.043 Br

Record 2
PBE ZnCrBr2, optimized geometry; energy above the lowest structure with this stoichiometry = 294 meV per atom; space group = P4/mmm (123)
1.0
3.363 0.000 0.000
0.000 3.363 0.000
0.000 0.000 9.450
Zn Cr Br
1 1 2
Cartesian
0.000 0.000 0.000 Zn
0.000 0.000 4.725 Cr
1.681 1.681 3.095 Br
1.681 1.681 6.355 Br

Record 3
PBE Zn2CrBr, optimized geometry; energy above the lowest structure with this stoichiometry = 154 meV per atom; space group = R-3m (166)
1.0
1.714 0.990 7.913
-1.714 0.990 7.913
0.000 -1.979 7.913
Zn Cr Br
2 1 1
Cartesian
0.000 0.000 5.847 Zn
0.000 0.000 17.893 Zn
0.000 0.000 11.870 Cr
0.000 0.000 0.000 Br

Record 4
PBE ZnCrBr2, optimized geometry; energy above the lowest structure with this stoichiometry = 0 meV per atom; space group = R3m (160)
1.0
1.841 1.063 8.848
-1.841 1.063 8.848
0.000 -2.125 8.848
Zn Cr Br
1 1 2
Cartesian
0.000 0.000 0.000 Zn
0.000 0.000 19.579 Cr
0.000 0.000 7.290 Br
0.000 0.000 12.252 Br

Record 5
PBE ZnCrBr2, optimized geometry; energy above the lowest structure with this stoichiometry = 631 meV per atom; space group = F-43m (216)
1.0
0.000 3.588 3.588
3.588 0.000 3.588
3.588 3.588 0.000
Zn Cr Br
1 1 2
Cartesian
0.000 0.000 0.000 Zn
5.383 5.383 5.383 Cr
1.794 1.794 1.794 Br
3.588 3.588 3.588 Br

Record 6
PBE Zn2CrBr, optimized geometry; energy above the lowest structure with this stoichiometry = 560 meV per atom; space group = Fm-3m (225)
1.0
0.000 3.501 3.501
3.501 0.000 3.501
3.501 3.501 0.000
Zn Cr Br
2 1 1
Cartesian
1.750 1.750 1.750 Zn
5.251 5.251 5.251 Zn
0.000 0.000 0.000 Cr
3.501 3.501 3.501 Br

Record 7
PBE Zn3CrBr9, optimized geometry; DFT total energy = -2.942 eV per atom; space group = Cc (9)
1.0
8.838 -4.617 0.000
8.838 4.617 0.000
-7.993 0.000 10.133
Zn Cr Br
6 2 18
Cartesian
4.841 4.147 5.066 Zn
2.238 1.057 6.003 Zn
6.235 -1.057 0.937 Zn
7.717 0.662 4.549 Zn
3.721 -0.662 9.616 Zn
8.838 -4.147 0.000 Zn
-1.454 2.060 7.848 Cr
2.542 -2.060 2.782 Cr
2.569 3.276 5.046 Br
0.662 3.359 8.365 Br
-3.451 0.529 7.226 Br
-0.191 0.843 6.004 Br
0.545 -0.529 2.159 Br
6.210 2.490 3.856 Br
3.806 -0.843 0.938 Br
-0.551 0.373 9.481 Br
3.446 -0.373 4.415 Br
3.717 1.125 7.945 Br
9.907 1.785 4.768 Br
10.637 0.579 1.370 Br
7.713 -1.125 2.879 Br
-1.428 -3.276 10.113 Br
6.640 -0.579 6.436 Br
4.659 -3.359 3.298 Br
2.213 -2.490 8.922 Br
5.910 -1.785 9.835 Br

Record 8
PBE ZnCrBr, optimized geometry; energy above the lowest structure with this stoichiometry = 0 meV per atom; space group = P3m1 (156)
1.0
3.557 0.000 0.000
-1.779 3.081 0.000
0.000 0.000 5.931
Zn Cr Br
1 1 1
Cartesian
0.000 0.000 0.000 Zn
1.779 1.027 1.744 Cr
0.000 2.054 3.512 Br

Record 9
PBE ZnCr2Br, optimized geometry; energy above the lowest structure with this stoichiometry = 357 meV per atom; space group = Immm (71)
1.0
-1.640 2.793 4.383
1.640 -2.793 4.383
1.640 2.793 -4.383
Zn Cr Br
1 2 1
Cartesian
0.000 0.000 0.000 Zn
1.640 0.000 2.207 Cr
0.000 2.793 2.175 Cr
0.000 0.000 4.383 Br

Record 10
PBE Zn2CrBr, optimized geometry; energy above the lowest structure with this stoichiometry = 381 meV per atom; space group = F-43m (216)
1.0
0.000 3.458 3.458
3.458 0.000 3.458
3.458 3.458 0.000
Zn Cr Br
2 1 1
Cartesian
0.000 0.000 0.000 Zn
1.729 1.729 1.729 Zn
3.458 3.458 3.458 Cr
5.187 5.187 5.187 Br

Record 11
PBE ZnCrBr2, optimized geometry; energy above the lowest structure with this stoichiometry = 200 meV per atom; space group = P4mm (99)
1.0
3.421 0.000 0.000
0.000 3.421 0.000
0.000 0.000 8.276
Zn Cr Br
1 1 2
Cartesian
0.000 0.000 0.000 Zn
1.711 1.711 6.599 Cr
0.000 0.000 5.055 Br
1.711 1.711 1.418 Br

Record 12
PBE ZnCr2Br, optimized geometry; energy above the lowest structure with this stoichiometry = 118 meV per atom; space group = P2/m (10)
1.0
3.402 0.000 0.000
0.000 3.180 0.000
-0.018 0.000 7.220
Zn Cr Br
1 2 1
Cartesian
0.000 0.000 0.000 Zn
1.683 1.590 5.766 Cr
1.701 1.590 1.455 Cr
1.692 0.000 3.610 Br

What M_tot values result from the calculations? In sequence: 4.9, 4.1, 4.4, 4.0, 4.3, 4.8, 5.9, 4.4, 8.8, 5.0, 4.0, 8.0 μB per cell.